1.
GdErGe4Os2 after structural relaxation, computed with PBE-GGA.

Calculated values
The calculated total energy is -6.722 eV per atom. The total magnetization comes out at 0.00 μB/atom. The space group is No. 6.

abc: 4.435 4.450 8.284
angles: 90.00 104.80 90.00
Fractional positions:
Er 0.372 0.000 0.290
Gd 0.620 0.500 0.707
Ge 0.680 0.000 0.013
Ge 0.959 0.500 0.414
Ge 0.038 0.000 0.585
Ge 0.325 0.500 0.990
Os 0.900 0.500 0.118
Os 0.106 0.000 0.884



2.
GdEr2Ge3PdPt2 after structural relaxation, computed with PBE-GGA.

Calculated values
The calculated total energy is -6.014 eV per atom. The total magnetization comes out at 0.00 μB/atom. The space group is No. 38.

abc: 3.904 7.236 7.236
angles: 120.29 90.00 90.00
Fractional positions:
Er 0.000 0.595 0.000
Er 0.000 0.000 0.595
Gd 0.000 0.407 0.407
Ge 0.500 0.999 0.255
Ge 0.500 0.745 0.745
Ge 0.500 0.255 0.999
Pd 0.000 0.997 0.997
Pt 0.500 0.670 0.332
Pt 0.500 0.332 0.670



3.
GdErGe2Pt4 after structural relaxation, computed with PBE-GGA.

Calculated values
The calculated total energy is -6.307 eV per atom. The total magnetization comes out at 0.00 μB/atom. The space group is No. 187.

abc: 4.380 4.380 9.128
angles: 90.00 90.00 120.00
Fractional positions:
Er 0.000 0.000 0.000
Gd 0.667 0.333 0.500
Ge 0.333 0.667 0.248
Ge 0.333 0.667 0.752
Pt 0.667 0.333 0.163
Pt 0.000 0.000 0.331
Pt 0.000 0.000 0.669
Pt 0.667 0.333 0.837



4.
GdErGe2Pt after structural relaxation, computed with PBE-GGA.

Calculated values
The calculated total energy is -5.913 eV per atom. The total magnetization comes out at 0.03 μB/atom. The space group is No. 12.

abc: 5.670 5.670 10.393
angles: 115.00 115.00 45.22
Last column: magnetic moment on the atom in μB.
Fractional positions:
Er 0.011 0.011 0.330  0.02
Er 0.989 0.989 0.670  0.02
Gd 0.189 0.189 0.114  0.06
Gd 0.811 0.811 0.886  0.06
Ge 0.476 0.476 0.115  0.00
Ge 0.357 0.357 0.447  0.00
Ge 0.643 0.643 0.553  0.00
Ge 0.524 0.524 0.885  0.00
Pt 0.729 0.729 0.337  0.01
Pt 0.271 0.271 0.663  0.01



5.
GdErTa2Ge2 after structural relaxation, computed with PBE-GGA.

Calculated values
The calculated total energy is -7.616 eV per atom. The total magnetization comes out at 0.18 μB/atom. The space group is No. 99.

abc: 4.026 4.026 7.855
angles: 90.00 90.00 90.00
Last column: magnetic moment on the atom in μB.
Fractional positions:
Er 0.000 0.000 0.650  0.32
Gd 0.500 0.500 0.353  0.29
Ge 0.000 0.000 0.245  -0.01
Ge 0.500 0.500 0.754  -0.01
Ta 0.500 0.000 0.999  0.04
Ta 0.000 0.500 0.999  0.04



6.
GdErH4 after structural relaxation, computed with PBE-GGA.

Calculated values
The calculated total energy is -4.477 eV per atom. The total magnetization comes out at 0.00 μB/atom. The space group is No. 123.

abc: 3.654 3.654 5.162
angles: 90.00 90.00 90.00
Fractional positions:
Er 0.000 0.000 0.000
Gd 0.500 0.500 0.500
H 0.500 0.000 0.242
H 0.000 0.500 0.242
H 0.500 0.000 0.758
H 0.000 0.500 0.758



calculated total energy of number 6 (GdErH4)? -4.477 eV per atom